Entry 1
# Sc2MnBr

Sc2MnBr at its PBEsol-relaxed geometry (SCAN, Alexandria).

abc: 3.156 4.637 5.285
angles: 90.00 90.00 90.00
Last column: magnetic moment on the atom in μB.
Fractional positions:
Br 0.500 0.500 0.000  0.01
Mn 0.000 0.000 0.500  3.59
Sc 0.000 0.000 0.000  -0.56
Sc 0.500 0.500 0.500  -0.18

## Properties
D(E_F)	0.76	states/eV per atom
theoretical density	4827	kg/m3

***

Entry 2
# Sc2MnBr

Sc2MnBr at its PBEsol-relaxed geometry (SCAN, Alexandria).

abc: 3.288 3.288 9.225
angles: 79.73 79.73 60.00
Last column: magnetic moment on the atom in μB.
Fractional positions:
Br 0.497 0.497 0.509  0.02
Mn 0.250 0.250 0.249  4.07
Sc 0.995 0.995 0.015  -0.20
Sc 0.758 0.758 0.727  0.50

## Properties
D(E_F)	0.56	states/eV per atom
theoretical density	4416	kg/m3

***

The energy of each structure relative to the most stable one, in meV per atom, is as follows: entry 1 137; entry 2 0.

***

Entry 1
# ScMnBr2

ScMnBr2 at its PBEsol-relaxed geometry (SCAN, Alexandria).

abc: 3.418 3.418 9.708
angles: 79.86 79.86 60.00
Last column: magnetic moment on the atom in μB.
Fractional positions:
Br 0.270 0.270 0.191  0.01
Br 0.730 0.730 0.809  0.01
Mn 0.500 0.500 0.500  4.56
Sc 0.000 0.000 0.000  -0.23

## Properties
D(E_F)	0.55	states/eV per atom
theoretical density	4486	kg/m3

***

Entry 2
# ScMnBr2

ScMnBr2 at its PBEsol-relaxed geometry (SCAN, Alexandria).

abc: 3.292 4.567 6.685
angles: 109.97 104.26 90.00
Last column: magnetic moment on the atom in μB.
Fractional positions:
Br 0.945 0.945 0.891  0.05
Br 0.719 0.219 0.438  0.04
Mn 0.571 0.571 0.141  4.30
Sc 0.265 0.765 0.530  -0.49

## Properties
D(E_F)	0.24	states/eV per atom
theoretical density	4730	kg/m3

***

The energy of each structure relative to the most stable one, in meV per atom, is as follows: entry 1 0; entry 2 34.

***

Entry 1
# MnSeBr2

MnSeBr2 at its PBEsol-relaxed geometry (SCAN, Alexandria).

abc: 3.651 3.651 7.868
angles: 90.00 90.00 90.00
Last column: magnetic moment on the atom in μB.
Fractional positions:
Br 0.000 0.000 0.959  0.12
Br 0.500 0.500 0.286  0.07
Mn 0.000 0.000 0.665  4.33
Se 0.500 0.500 0.591  0.04

## Properties
D(E_F)	0.14	states/eV per atom
theoretical density	4650	kg/m3

***

Entry 2
# MnSeBr2

MnSeBr2 at its PBEsol-relaxed geometry (SCAN, Alexandria).

abc: 3.539 3.539 8.327
angles: 77.73 77.73 60.00
Last column: magnetic moment on the atom in μB.
Fractional positions:
Br 0.987 0.987 0.040  -0.40
Br 0.776 0.776 0.672  0.02
Mn 0.506 0.506 0.481  3.83
Se 0.231 0.231 0.307  -0.37

## Properties
D(E_F)	0.18	states/eV per atom
theoretical density	5570	kg/m3

***

The energy of each structure relative to the most stable one, in meV per atom, is as follows: entry 1 30; entry 2 0.

***

Entry 1
# Mn2SeBr

Mn2SeBr at its PBEsol-relaxed geometry (SCAN, Alexandria).

abc: 3.583 3.694 5.970
angles: 90.00 90.00 90.00
Last column: magnetic moment on the atom in μB.
Fractional positions:
Br 0.500 0.000 0.500  0.09
Mn 0.000 0.000 0.000  4.27
Mn 0.000 0.500 0.500  4.21
Se 0.500 0.500 0.000  0.10

## Properties
D(E_F)	0.48	states/eV per atom
theoretical density	5647	kg/m3

***

Entry 2
# Mn2SeBr

Mn2SeBr at its PBEsol-relaxed geometry (SCAN, Alexandria).

abc: 3.435 3.591 6.846
angles: 105.21 104.53 90.00
Last column: magnetic moment on the atom in μB.
Fractional positions:
Br 0.289 0.789 0.578  0.08
Mn 0.992 0.992 0.985  4.13
Mn 0.682 0.182 0.365  4.18
Se 0.536 0.536 0.073  0.07

## Properties
D(E_F)	0.12	states/eV per atom
theoretical density	5670	kg/m3

***

The energy of each structure relative to the most stable one, in meV per atom, is as follows: entry 1 271; entry 2 0.

***

Entry 1
# Mn2SiBr

Mn2SiBr at its PBEsol-relaxed geometry (SCAN, Alexandria).

abc: 3.622 3.609 5.234
angles: 90.00 90.00 90.00
Last column: magnetic moment on the atom in μB.
Fractional positions:
Br 0.000 0.000 0.500  0.10
Mn 0.000 0.000 0.000  3.94
Mn 0.500 0.500 0.500  4.15
Si 0.500 0.500 0.000  -0.15

## Properties
D(E_F)	0.34	states/eV per atom
theoretical density	5289	kg/m3

***

Entry 2
# Mn2SiBr

Mn2SiBr at its PBEsol-relaxed geometry (SCAN, Alexandria).

abc: 3.004 3.004 6.466
angles: 90.00 90.00 90.00
Last column: magnetic moment on the atom in μB.
Fractional positions:
Br 0.500 0.500 0.500  0.04
Mn 0.000 0.000 0.802  3.08
Mn 0.000 0.000 0.198  3.08
Si 0.500 0.500 0.000  -0.28

## Properties
D(E_F)	0.70	states/eV per atom
theoretical density	6199	kg/m3

***

Entry 3
# Mn2SiBr

Mn2SiBr at its PBEsol-relaxed geometry (SCAN, Alexandria).

abc: 3.053 3.912 5.287
angles: 90.00 90.00 90.00
Last column: magnetic moment on the atom in μB.
Fractional positions:
Br 0.000 0.500 0.500  0.09
Mn 0.000 0.000 0.000  3.40
Mn 0.500 0.000 0.500  3.83
Si 0.500 0.500 0.000  -0.15

## Properties
D(E_F)	0.53	states/eV per atom
theoretical density	5730	kg/m3

***

The energy of each structure relative to the most stable one, in meV per atom, is as follows: entry 1 0; entry 2 87; entry 3 335.

***

Entry 1
# MnSn3Br

MnSn3Br at its PBEsol-relaxed geometry (SCAN, Alexandria).

abc: 5.418 5.418 5.418
angles: 90.00 90.00 90.00
Last column: magnetic moment on the atom in μB.
Fractional positions:
Mn 0.500 0.500 0.500  4.63
Sn 0.000 0.500 0.000  -0.06
Sn 0.000 0.000 0.500  -0.06
Sn 0.500 0.000 0.000  -0.06
Br 0.000 0.000 0.000  -0.01

## Properties
D(E_F)	0.58	states/eV per atom
theoretical density	5127	kg/m3

***

Entry 2
# MnSn3Br

MnSn3Br at its PBEsol-relaxed geometry (SCAN, Alexandria).

abc: 4.924 4.924 4.924
angles: 90.00 90.00 90.00
Fractional positions:
Mn 0.000 0.000 0.000
Sn 0.000 0.500 0.000
Sn 0.000 0.000 0.500
Sn 0.500 0.000 0.000
Br 0.500 0.500 0.500

## Properties
theoretical density	6830	kg/m3

***

The energy of each structure relative to the most stable one, in meV per atom, is as follows: entry 1 1074; entry 2 0.

***

Entry 1
# Mn2TeBr

Mn2TeBr at its PBEsol-relaxed geometry (SCAN, Alexandria).

abc: 4.923 4.923 4.923
angles: 60.00 60.00 60.00
Last column: magnetic moment on the atom in μB.
Fractional positions:
Br 0.500 0.500 0.500  0.12
Mn 0.000 0.000 0.000  4.19
Mn 0.250 0.250 0.250  4.33
Te 0.750 0.750 0.750  0.02

## Properties
D(E_F)	0.77	states/eV per atom
theoretical density	6247	kg/m3

***

Entry 2
# Mn2TeBr

Mn2TeBr at its PBEsol-relaxed geometry (SCAN, Alexandria).

abc: 3.388 3.387 7.115
angles: 90.00 90.00 90.00
Last column: magnetic moment on the atom in μB.
Fractional positions:
Br 0.500 0.500 0.845  0.10
Mn 0.000 0.000 0.026  3.96
Mn 0.500 0.500 0.228  3.55
Te 0.000 0.000 0.401  -0.16

## Properties
D(E_F)	0.26	states/eV per atom
theoretical density	6455	kg/m3

***

The energy of each structure relative to the most stable one, in meV per atom, is as follows: entry 1 742; entry 2 0.

***

Entry 1
# MnTeBr2

MnTeBr2 at its PBEsol-relaxed geometry (SCAN, Alexandria).

abc: 3.616 5.624 7.333
angles: 112.55 104.28 90.00
Last column: magnetic moment on the atom in μB.
Fractional positions:
Br 0.926 0.926 0.851  0.00
Br 0.162 0.662 0.323  0.04
Mn 0.530 0.530 0.060  4.24
Te 0.882 0.382 0.765  -0.18

## Properties
D(E_F)	0.29	states/eV per atom
theoretical density	4283	kg/m3

***

Entry 2
# MnTeBr2

MnTeBr2 at its PBEsol-relaxed geometry (SCAN, Alexandria).

abc: 3.338 5.427 5.427
angles: 104.78 90.00 90.00
Last column: magnetic moment on the atom in μB.
Fractional positions:
Br 0.000 0.500 0.000  0.02
Br 0.000 0.000 0.500  0.02
Mn 0.500 0.000 0.000  4.48
Te 0.500 0.500 0.500  -0.04

## Properties
D(E_F)	0.52	states/eV per atom
theoretical density	5979	kg/m3

***

The energy of each structure relative to the most stable one, in meV per atom, is as follows: entry 1 0; entry 2 733.

***

Entry 1
# Mn2TlBr

Mn2TlBr at its PBEsol-relaxed geometry (SCAN, Alexandria).

abc: 3.268 3.268 7.683
angles: 90.00 90.00 89.97
Last column: magnetic moment on the atom in μB.
Fractional positions:
Br 0.500 0.500 0.159  0.12
Mn 0.000 0.000 0.983  4.00
Mn 0.500 0.500 0.792  3.92
Tl 0.000 0.000 0.567  0.01

## Properties
D(E_F)	0.34	states/eV per atom
theoretical density	7978	kg/m3

***

Entry 2
# Mn2TlBr

Mn2TlBr at its PBEsol-relaxed geometry (SCAN, Alexandria).

abc: 3.168 3.168 7.361
angles: 90.00 90.00 90.00
Last column: magnetic moment on the atom in μB.
Fractional positions:
Br 0.500 0.500 0.500  0.10
Mn 0.000 0.000 0.739  4.03
Mn 0.000 0.000 0.261  4.03
Tl 0.500 0.500 0.000  -0.09

## Properties
D(E_F)	0.77	states/eV per atom
theoretical density	8861	kg/m3

***

The energy of each structure relative to the most stable one, in meV per atom, is as follows: entry 1 0; entry 2 235.

***

Entry 1
# YMnBr2

YMnBr2 at its PBEsol-relaxed geometry (SCAN, Alexandria).

abc: 3.644 3.644 9.118
angles: 78.47 78.47 60.00
Last column: magnetic moment on the atom in μB.
Fractional positions:
Y 0.000 0.000 0.000  -0.17
Mn 0.500 0.500 0.500  4.16
Br 0.893 0.893 0.321  0.06
Br 0.107 0.107 0.679  0.06

## Properties
D(E_F)	0.76	states/eV per atom
theoretical density	4942	kg/m3

***

Entry 2
# YMnBr2

YMnBr2 at its PBEsol-relaxed geometry (SCAN, Alexandria).

abc: 3.965 3.965 6.305
angles: 108.33 108.33 90.00
Last column: magnetic moment on the atom in μB.
Fractional positions:
Br 0.000 0.000 0.000  0.07
Br 0.750 0.250 0.500  0.01
Mn 0.500 0.500 0.000  4.31
Y 0.250 0.750 0.500  -0.08

## Properties
D(E_F)	0.73	states/eV per atom
theoretical density	5678	kg/m3

***

Entry 3
# YMnBr2

YMnBr2 at its PBEsol-relaxed geometry (SCAN, Alexandria).

abc: 3.565 5.650 5.650
angles: 107.31 107.47 107.47
Last column: magnetic moment on the atom in μB.
Fractional positions:
Br 0.000 0.500 0.000  0.01
Br 0.000 0.000 0.500  0.01
Mn 0.000 0.000 0.000  4.29
Y 0.000 0.500 0.500  -0.28

## Properties
D(E_F)	0.42	states/eV per atom
theoretical density	5381	kg/m3

***

The energy of each structure relative to the most stable one, in meV per atom, is as follows: entry 1 39; entry 2 169; entry 3 0.

***

Entry 1
# ZrMnBr2

ZrMnBr2 at its PBEsol-relaxed geometry (SCAN, Alexandria).

abc: 3.341 3.341 7.724
angles: 90.00 90.00 90.00
Last column: magnetic moment on the atom in μB.
Fractional positions:
Br 0.000 0.000 0.948  0.01
Br 0.500 0.500 0.340  0.09
Mn 0.000 0.000 0.498  4.01
Zr 0.500 0.500 0.715  0.00

## Properties
D(E_F)	0.30	states/eV per atom
theoretical density	5894	kg/m3

***

Entry 2
# ZrMnBr2

ZrMnBr2 at its PBEsol-relaxed geometry (SCAN, Alexandria).

abc: 3.448 3.448 9.085
angles: 79.06 79.06 60.00
Last column: magnetic moment on the atom in μB.
Fractional positions:
Br 0.982 0.982 0.055  0.01
Br 0.773 0.773 0.682  0.05
Mn 0.501 0.501 0.498  3.96
Zr 0.245 0.245 0.265  -0.56

## Properties
D(E_F)	0.20	states/eV per atom
theoretical density	5568	kg/m3

***

The energy of each structure relative to the most stable one, in meV per atom, is as follows: entry 1 103; entry 2 0.

***

Entry 1
# MoBr2

MoBr2 at its PBEsol-relaxed geometry (SCAN, Alexandria).

abc: 9.605 9.605 11.754
angles: 90.00 90.00 104.49
Fractional positions:
Mo 0.068 0.068 0.142
Mo 0.432 0.432 0.642
Mo 0.568 0.568 0.358
Mo 0.932 0.932 0.858
Mo 0.858 0.858 0.068
Mo 0.642 0.642 0.568
Mo 0.358 0.358 0.432
Mo 0.142 0.142 0.932
Mo 0.622 0.378 0.500
Mo 0.878 0.122 0.000
Mo 0.378 0.622 0.500
Mo 0.122 0.878 0.000
Br 0.649 0.649 0.149
Br 0.851 0.851 0.649
Br 0.149 0.149 0.351
Br 0.351 0.351 0.851
Br 0.790 0.210 0.500
Br 0.710 0.290 0.000
Br 0.210 0.790 0.500
Br 0.290 0.710 0.000
Br 0.087 0.328 0.073
Br 0.413 0.172 0.573
Br 0.828 0.587 0.427
Br 0.672 0.913 0.927
Br 0.193 0.953 0.792
Br 0.307 0.547 0.292
Br 0.453 0.693 0.708
Br 0.047 0.807 0.208
Br 0.807 0.047 0.208
Br 0.693 0.453 0.708
Br 0.547 0.307 0.292
Br 0.953 0.193 0.792
Br 0.328 0.087 0.073
Br 0.172 0.413 0.573
Br 0.587 0.828 0.427
Br 0.913 0.672 0.927

## Properties
D(E_F)	0.00	states/eV per atom
theoretical density	4854	kg/m3

***

Entry 2
# MoBr2

MoBr2 at its PBEsol-relaxed geometry (SCAN, Alexandria).

abc: 3.201 7.274 8.097
angles: 116.69 90.00 90.00
Fractional positions:
Br 0.750 0.124 0.741
Br 0.250 0.876 0.259
Br 0.750 0.383 0.259
Br 0.250 0.617 0.741
Mo 0.750 0.628 0.000
Mo 0.250 0.372 0.000

## Properties
D(E_F)	0.25	states/eV per atom
theoretical density	5043	kg/m3

***

The energy of each structure relative to the most stable one, in meV per atom, is as follows: entry 1 0; entry 2 511.

***

Entry 1
# MoOs2Br

MoOs2Br at its PBEsol-relaxed geometry (SCAN, Alexandria).

abc: 2.867 4.728 5.246
angles: 115.62 104.08 93.80
Fractional positions:
Mo 0.000 0.500 0.000
Os 0.000 0.000 0.500
Os 0.500 0.500 0.500
Br 0.500 0.000 0.000

## Properties
D(E_F)	0.83	states/eV per atom
theoretical density	15150	kg/m3

***

Entry 2
# MoOs2Br

MoOs2Br at its PBEsol-relaxed geometry (SCAN, Alexandria).

abc: 2.849 4.692 4.692
angles: 103.77 90.00 90.00
Fractional positions:
Mo 0.500 0.500 0.500
Os 0.000 0.500 0.000
Os 0.000 0.000 0.500
Br 0.500 0.000 0.000

## Properties
D(E_F)	0.78	states/eV per atom
theoretical density	15160	kg/m3

***

The energy of each structure relative to the most stable one, in meV per atom, is as follows: entry 1 0; entry 2 115.